GGA-PBEsol BaFeRh3, optimized geometry; raw total energy = -32.9 eV for the cell shown; DFT formation energy = 0.521 eV per atom; space-group type = Pm-3m
1.0
4.5923 0.0000 0.0000
0.0000 4.5923 0.0000
0.0000 0.0000 4.5923
Rh Ba Fe
3 1 1
Direct
0.5000 0.0000 0.0000
0.0000 0.5000 0.0000
0.0000 0.0000 0.5000
0.5000 0.5000 0.5000
0.0000 0.0000 0.0000

GGA-PBEsol Ir2AuCl, optimized geometry; raw total energy = -21.5 eV for the cell shown; polymorph energy (0 for the lowest one) = 30 meV per atom; formation energy without anion corrections = 1.020 eV per atom; space-group type = Cmmm
1.0
2.7609 0.0000 0.0000
0.0000 4.8091 0.0542
0.0000 -1.4029 4.6002
Ir Au Cl
2 1 1
Direct
0.0000 0.5000 0.0000
0.0000 0.0000 0.5000
0.5000 0.0000 0.0000
0.5000 0.5000 0.5000

GGA-PBEsol YPb3Au, optimized geometry; raw total energy = -18.6 eV for the cell shown; DFT formation energy = 0.828 eV per atom; space-group type = Pm-3m
1.0
-1.3564 4.3104 -3.5346
-5.3620 -2.0032 -0.3853
-1.5237 3.2125 4.5023
Pb Au Y
3 1 1
Direct
0.5000 0.0000 0.0000
0.0000 0.5000 0.0000
0.0000 0.0000 0.5000
0.5000 0.5000 0.5000
0.0000 0.0000 0.0000

GGA-PBEsol TlTeRh2, optimized geometry; raw total energy = -22.3 eV for the cell shown; polymorph energy (0 for the lowest one) = 0 meV per atom; formation energy without anion corrections = 0.032 eV per atom; space-group type = Pmm2
1.0
-1.0899 0.9860 -2.8888
-2.4749 -3.7823 -0.3590
-3.8629 2.3143 2.2474
Rh Tl Te
2 1 1
Direct
0.1253 0.0178 0.0000
0.6248 0.2579 0.5000
0.1248 0.7662 0.5000
0.6250 0.4581 0.0000

GGA-PBEsol CaSi2Br, optimized geometry; raw total energy = -13.8 eV for the cell shown; polymorph energy (0 for the lowest one) = 1101 meV per atom; formation energy without anion corrections = 0.415 eV per atom; space-group type = Fm-3m
1.0
-1.5145 -3.3205 -3.4412
-2.9517 -3.8287 1.3377
-4.8000 -0.0932 -1.4535
Si Ca Br
2 1 1
Direct
0.7500 0.7500 0.7500
0.2500 0.2500 0.2500
0.5000 0.5000 0.5000
0.0000 0.0000 0.0000

GGA-PBEsol ScGeN2F, optimized geometry; raw total energy = -32.4 eV for the cell shown; polymorph energy (0 for the lowest one) = 393 meV per atom; formation energy without anion corrections = -0.375 eV per atom; space-group type = P4/mmm
1.0
3.9329 0.0000 0.0000
0.0000 4.1514 0.0000
0.0000 0.0000 4.1514
Sc Ge N F
1 1 2 1
Direct
0.0000 0.0000 0.0000
0.5000 0.5000 0.5000
0.0000 0.5000 0.0000
0.0000 0.0000 0.5000
0.5000 0.0000 0.0000